1.
{"formula": "CaLaDyLu", "functional": "GGA-PBE", "state": "optimized geometry", "ef_ev_per_atom": 0.13, "e_tot_ha_per_atom": -0.1429, "spacegroup": "F-43m, No. 216", "lattice_angstrom": [[-4.423, 0.219, 3.741], [-2.001, -4.877, 2.411], [0.912, -1.036, 5.630]], "species": ["Ca", "Lu", "La", "Dy"], "fractional_positions": [[0.750, 0.750, 0.750], [0.250, 0.250, 0.250], [0.000, 0.000, 0.000], [0.500, 0.500, 0.500]]}


2.
{"formula": "CaLa3Nd6Dy2", "functional": "GGA-PBE", "state": "optimized geometry", "ef_ev_per_atom": 0.04, "e_tot_ha_per_atom": -0.1657, "spacegroup": "C2/m, No. 12", "lattice_angstrom": [[-1.416, 6.191, 0.872], [-4.277, -3.919, -2.730], [-2.638, -3.312, 11.391]], "species": ["Nd", "La", "La", "Nd", "Dy", "Ca", "Nd", "Nd", "Dy", "La", "Nd", "Nd"], "fractional_positions": [[0.083, 0.424, 0.247], [0.500, 0.500, 0.500], [0.167, 0.833, 0.500], [0.576, 0.917, 0.753], [0.333, 0.667, 0.000], [0.000, 0.000, 0.000], [0.917, 0.576, 0.753], [0.258, 0.258, 0.752], [0.667, 0.333, 0.000], [0.833, 0.167, 0.500], [0.424, 0.083, 0.247], [0.742, 0.742, 0.248]]}


3.
{"formula": "CaLaNdDy", "functional": "GGA-PBE", "state": "optimized geometry", "ef_ev_per_atom": 0.11, "e_tot_ha_per_atom": -0.1456, "de_polymorph_ev_per_atom": 0.0709, "spacegroup": "F-43m, No. 216", "lattice_angstrom": [[-2.461, 3.617, 3.941], [-2.755, -2.214, 4.709], [2.385, 0.585, 5.351]], "species": ["Ca", "Dy", "Nd", "La"], "fractional_positions": [[0.500, 0.500, 0.500], [0.000, 0.000, 0.000], [0.750, 0.750, 0.750], [0.250, 0.250, 0.250]]}